Record 1
Material: Nd2DyY3
Method: DFT, GGA-PBE
State: optimized geometry

abc: 3.4140 6.6709 17.7421
angles: 90.00 90.00 90.00
Last column: nearest neighbours and their distance in Å.
Positions (direct):
Nd (0.5000, 0.7631, 0.1498)  1 Dy 3.19, 6 Y 3.35-3.53, 2 Nd 3.41
Nd (0.0000, 0.2631, 0.3502)  1 Dy 3.19, 6 Y 3.35-3.53, 2 Nd 3.41
Nd (0.0000, 0.7369, 0.6498)  1 Dy 3.19, 6 Y 3.35-3.53, 2 Nd 3.41
Nd (0.5000, 0.2369, 0.8502)  1 Dy 3.19, 6 Y 3.35-3.53, 2 Nd 3.41
Dy (0.0000, 0.0000, 0.5000)  2 Nd 3.19, 2 Dy 3.41, 2 Y 3.56
Dy (0.5000, 0.5000, 0.0000)  2 Nd 3.19, 2 Dy 3.41, 2 Y 3.56
Y (0.0000, 0.0000, 0.0000)  2 Y 3.41, 4 Nd 3.53, 4 Dy 3.75
Y (0.5000, 0.5000, 0.5000)  2 Y 3.41, 4 Nd 3.53, 4 Dy 3.75
Y (0.5000, 0.7408, 0.8213)  4 Nd 3.35-3.49, 2 Y 3.41, 1 Dy 3.56
Y (0.5000, 0.2592, 0.1787)  4 Nd 3.35-3.49, 2 Y 3.41, 1 Dy 3.56
Y (0.0000, 0.2408, 0.6787)  4 Nd 3.35-3.49, 2 Y 3.41, 1 Dy 3.56
Y (0.0000, 0.7592, 0.3213)  4 Nd 3.35-3.49, 2 Y 3.41, 1 Dy 3.56

Distance to the lowest polymorph of the same formula ... 98 meV per atom
DFT formation energy ... 0.249 eV per atom

Record 2
Material: Ce2Y3TaN6
Method: DFT, GGA-PBE
State: optimized geometry

abc: 5.9598 5.9598 5.9299
angles: 99.61 99.61 119.97
Last column: nearest neighbours and their distance in Å.
Positions (direct):
Ce (0.3336, 0.6664, 0.0000)  6 N 2.44-2.46
Ce (0.6664, 0.3336, 0.0000)  6 N 2.44-2.46
Y (0.1650, 0.8350, 0.5000)  6 N 2.40-2.61
Y (0.8350, 0.1650, 0.5000)  6 N 2.40-2.61
Y (0.5000, 0.5000, 0.5000)  6 N 2.43-2.57
Ta (0.0000, 0.0000, 0.0000)  6 N 2.26-2.28
N (0.9221, 0.6121, 0.7661)  1 Ta 2.26, 2 Y 2.43, 2 Ce 2.44
N (0.7697, 0.7697, 0.2396)  1 Ta 2.28, 2 Y 2.40, 2 Ce 2.46
N (0.0779, 0.3879, 0.2339)  1 Ta 2.26, 2 Y 2.43, 2 Ce 2.44
N (0.6121, 0.9221, 0.7661)  1 Ta 2.26, 2 Y 2.43, 2 Ce 2.44
N (0.2303, 0.2303, 0.7604)  1 Ta 2.28, 2 Y 2.40, 2 Ce 2.46
N (0.3879, 0.0779, 0.2339)  1 Ta 2.26, 2 Y 2.43, 2 Ce 2.44

Energy relative to the elements, uncorrected ... -1.505 eV per atom

Record 3
Material: Li2Pm3Si3
Method: DFT, GGA-PBE
State: optimized geometry

abc: 4.3213 5.9654 14.5582
angles: 90.00 90.00 111.24
Last column: nearest neighbours and their distance in Å.
Positions (direct):
Li (0.7860, 0.5721, 0.9203)  4 Si 2.60-2.81
Li (0.2140, 0.4279, 0.4203)  4 Si 2.60-2.81
Li (0.7860, 0.5721, 0.5797)  4 Si 2.60-2.81
Li (0.2140, 0.4279, 0.0797)  4 Si 2.60-2.81
Pm (0.9162, 0.8324, 0.3860)  6 Si 3.09-3.16, 4 Li 3.16-3.35
Pm (0.0838, 0.1676, 0.8860)  6 Si 3.09-3.16, 4 Li 3.16-3.35
Pm (0.9162, 0.8324, 0.1140)  6 Si 3.09-3.16, 4 Li 3.16-3.35
Pm (0.0838, 0.1676, 0.6140)  6 Si 3.09-3.16, 4 Li 3.16-3.35
Pm (0.6318, 0.2637, 0.2500)  4 Si 3.03-3.06
Pm (0.3682, 0.7363, 0.7500)  4 Si 3.03-3.06
Si (0.5924, 0.1847, 0.4561)  1 Si 2.42, 2 Li 2.60
Si (0.4076, 0.8153, 0.9561)  1 Si 2.42, 2 Li 2.60
Si (0.5924, 0.1847, 0.0439)  1 Si 2.42, 2 Li 2.60
Si (0.4076, 0.8153, 0.5439)  1 Si 2.42, 2 Li 2.60
Si (0.3264, 0.6529, 0.2500)  2 Li 2.78, 6 Pm 3.06-3.10
Si (0.6736, 0.3471, 0.7500)  2 Li 2.78, 6 Pm 3.06-3.10

Energy relative to the elements, uncorrected ... -0.567 eV per atom

Record 4
Material: NaAcPrIn
Method: DFT, GGA-PBE
State: optimized geometry

abc: 5.7322 5.7322 5.7322
angles: 60.00 60.00 60.00
Last column: nearest neighbours and their distance in Å.
Positions (direct):
Pr (0.2500, 0.2500, 0.2500)  4 In 3.51, 4 Na 3.51
Na (0.0000, 0.0000, 0.0000)  4 Ac 3.51, 4 Pr 3.51
Ac (0.7500, 0.7500, 0.7500)  4 Na 3.51, 4 In 3.51
In (0.5000, 0.5000, 0.5000)  4 Pr 3.51, 4 Ac 3.51

DFT formation energy ... -0.150 eV per atom

| no. | D(E_F) (states/eV per atom) | size of the total moment (μB per cell) |
| --- | --- | --- |
| 1 | 1.523 | 0.000 |
| 2 | 0.643 | 0.000 |
| 3 | 0.346 | 1.813 |
| 4 | 1.215 | 0.000 |